GdHo2Bi3 after structural relaxation, computed with PBE.

Values from the calculation:
SG: P-3m1
Total moment (μB/f.u.): 0.00
Raw total energy (eV/atom): -5.199

Lattice parameters (Å, degrees): 4.465 4.465 10.955 90.00 90.00 120.00
Positions (direct):
Bi1 0.000 0.000 0.000
Bi2 0.333 0.667 0.331
Bi3 0.667 0.333 0.669
Gd1 0.000 0.000 0.500
Ho1 0.667 0.333 0.166
Ho2 0.333 0.667 0.834